Record 1
The following is a DFT calculation (GGA-PBE) of a relaxed structure of Tb2SmMg2.

Lattice parameters (Å, degrees): 14.130 14.130 5.491 90.00 90.00 164.72
Element x y z (fractional)
Tb 0.044 0.956 0.750
Tb 0.237 0.763 0.750
Tb 0.763 0.237 0.250
Tb 0.956 0.044 0.250
Sm 0.151 0.849 0.250
Sm 0.849 0.151 0.750
Mg 0.360 0.640 0.250
Mg 0.447 0.553 0.750
Mg 0.553 0.447 0.250
Mg 0.640 0.360 0.750

Output
**SG**: No. 63
**Distance to the lowest polymorph of the same formula**: 0 meV per atom
**ΔE_f**: -0.36 eV/f.u.

Record 2
The following is a DFT calculation (GGA-PBE) of a relaxed structure of TbSm12Mg3.

Lattice parameters (Å, degrees): 5.008 5.008 20.168 90.00 90.00 90.00
Element x y z (fractional)
Tb 0.000 0.000 0.000
Sm 0.000 0.500 0.128
Sm 0.000 0.500 0.377
Sm 0.000 0.500 0.623
Sm 0.000 0.500 0.872
Sm 0.500 0.000 0.128
Sm 0.500 0.000 0.377
Sm 0.500 0.000 0.623
Sm 0.500 0.000 0.872
Sm 0.500 0.500 0.000
Sm 0.500 0.500 0.253
Sm 0.500 0.500 0.500
Sm 0.500 0.500 0.747
Mg 0.000 0.000 0.254
Mg 0.000 0.000 0.500
Mg 0.000 0.000 0.746

Output
**SG**: No. 123
**ΔE_f**: 0.17 eV/f.u.

Record 3
The following is a DFT calculation (GGA-PBE) of a relaxed structure of Tb5Sm4Mg2.

Lattice parameters (Å, degrees): 8.726 3.460 11.492 90.00 93.89 90.00
Element x y z (fractional)
Tb 0.000 0.000 0.000
Tb 0.073 0.000 0.292
Tb 0.294 0.000 0.831
Tb 0.706 0.000 0.169
Tb 0.927 0.000 0.708
Sm 0.211 0.500 0.549
Sm 0.353 0.500 0.112
Sm 0.647 0.500 0.888
Sm 0.789 0.500 0.451
Mg 0.448 0.000 0.369
Mg 0.552 0.000 0.631

Output
**SG**: No. 10
**Distance to the lowest polymorph of the same formula**: 0 meV per atom
**ΔE_f**: 0.87 eV/f.u.

Record 4
The following is a DFT calculation (GGA-PBE) of a relaxed structure of Tb4Sm4Mg.

Lattice parameters (Å, degrees): 9.211 9.211 10.538 92.51 92.51 139.72
Element x y z (fractional)
Tb 0.151 0.843 0.674
Tb 0.157 0.849 0.326
Tb 0.227 0.227 0.925
Tb 0.272 0.272 0.575
Tb 0.728 0.728 0.425
Tb 0.773 0.773 0.075
Tb 0.843 0.151 0.674
Tb 0.849 0.157 0.326
Sm 0.178 0.822 0.000
Sm 0.322 0.678 0.500
Sm 0.340 0.646 0.175
Sm 0.354 0.660 0.825
Sm 0.646 0.340 0.175
Sm 0.660 0.354 0.825
Sm 0.678 0.322 0.500
Sm 0.822 0.178 0.000
Mg 0.245 0.245 0.252
Mg 0.755 0.755 0.748

Output
**SG**: No. 12
**ΔE_f**: 0.60 eV/f.u.

Record 5
The following is a DFT calculation (GGA-PBE) of a relaxed structure of Tb2Sm2Mg.

Lattice parameters (Å, degrees): 9.271 9.271 9.271 152.50 152.50 39.29
Element x y z (fractional)
Tb 0.250 0.750 0.500
Tb 0.750 0.250 0.500
Sm 0.092 0.092 0.000
Sm 0.908 0.908 0.000
Mg 0.500 0.500 0.000

Output
**SG**: No. 139
**Distance to the lowest polymorph of the same formula**: 395 meV per atom
**ΔE_f**: 1.86 eV/f.u.

Record 6
The following is a DFT calculation (GGA-PBE) of a relaxed structure of TbSmMg.

Lattice parameters (Å, degrees): 7.081 7.081 7.081 149.80 149.80 43.24
Element x y z (fractional)
Tb 0.000 0.000 0.000
Sm 0.317 0.317 0.000
Mg 0.656 0.656 0.000

Output
**SG**: No. 107
**Distance to the lowest polymorph of the same formula**: 11 meV per atom
**ΔE_f**: -0.14 eV/f.u.

Ordered total magnetization results: 0.00 0.00 0.00 0.00 0.00 0.25; unit μB per cell.